SrSbSeO6 | PBE | optimized geometry

a b c (Å): 5.2715 5.2715 5.4761
angles (deg): 90.00 90.00 60.00
Site moments in Bohr magnetons follow the coordinates.
Fractional positions:
Sr (0.0000, 0.0000, 0.0000)  0.01
Sb (0.3333, 0.3334, 0.5000)  0.00
Se (0.6666, 0.6667, 0.5000)  0.11
O (0.9926, 0.3840, 0.2952)  0.09
O (0.3839, 0.9927, 0.7048)  0.09
O (0.6233, 0.3840, 0.7048)  0.09
O (0.9926, 0.6234, 0.7048)  0.09
O (0.3839, 0.6234, 0.2952)  0.09
O (0.6234, 0.9926, 0.2952)  0.09

Output
Mass density = 4.84 Mg/m³
Raw formation energy = -1.469 eV per atom
SG = P312, No. 149